DFT (PBE-GGA) results for a relaxed CaBeFe3 crystal.

## Properties
As for the energy above the most stable polymorph in this dataset: 0 meV per atom. For the uncorrected energy, the calculation gives -28.55 eV for the cell shown. As for the density of states at the Fermi level: 1.105 states/eV per atom. For the formation enthalpy at 0 K, the calculation gives 513.5 meV/atom.

a = 4.1716 Å, b = 4.1716 Å, c = 4.1716 Å
α = 90.00°, β = 90.00°, γ = 90.00°
Space group Pm-3m (No. 221)
Symmetry-distinct sites (fractional):
Ca (0.0000, 0.0000, 0.0000) (multiplicity 1)
Be (0.5000, 0.5000, 0.5000) (multiplicity 1)
Fe (0.0000, 0.5000, 0.5000) (multiplicity 3)

---

DFT (PBE-GGA) results for a relaxed Ca2BeFe crystal.

## Properties
For the uncorrected energy, the calculation gives -14.97 eV for the cell shown. As for the density of states at the Fermi level: 0.773 states/eV per atom. For the formation enthalpy at 0 K, the calculation gives 305.0 meV/atom.

a = 3.2326 Å, b = 3.2326 Å, c = 8.1967 Å
α = 90.00°, β = 90.00°, γ = 90.00°
Space group P4mm (No. 99)
Symmetry-distinct sites (fractional):
Ca (0.0000, 0.0000, 0.0000) (multiplicity 1)
Ca (0.5000, 0.5000, 0.4019) (multiplicity 1)
Be (0.5000, 0.5000, 0.7322) (multiplicity 1)
Fe (0.0000, 0.0000, 0.6644) (multiplicity 1)

---

DFT (PBE-GGA) results for a relaxed CaBe2Fe2 crystal.

## Properties
As for the energy above the most stable polymorph in this dataset: 0 meV per atom. For the uncorrected energy, the calculation gives -50.66 eV for the cell shown. As for the density of states at the Fermi level: 0.543 states/eV per atom. For the formation enthalpy at 0 K, the calculation gives 209.6 meV/atom.

a = 7.0811 Å, b = 7.0811 Å, c = 2.5149 Å
α = 90.00°, β = 90.00°, γ = 90.00°
Space group P4/mbm (No. 127)
Symmetry-distinct sites (fractional):
Ca (0.0000, 0.0000, 0.0000) (multiplicity 2)
Be (0.1664, 0.3336, 0.5000) (multiplicity 4)
Fe (0.1188, 0.6188, 0.0000) (multiplicity 4)

---

DFT (PBE-GGA) results for a relaxed CaBeFe crystal.

## Properties
As for the energy above the most stable polymorph in this dataset: 114 meV per atom. For the uncorrected energy, the calculation gives -12.89 eV for the cell shown. As for the density of states at the Fermi level: 1.163 states/eV per atom. For the formation enthalpy at 0 K, the calculation gives 432.6 meV/atom.

a = 3.8934 Å, b = 3.8934 Å, c = 4.1744 Å
α = 90.00°, β = 90.00°, γ = 120.00°
Space group P3m1 (No. 156)
Symmetry-distinct sites (fractional):
Ca (0.0000, 0.0000, 0.0000) (multiplicity 1)
Be (0.6667, 0.3333, 0.5125) (multiplicity 1)
Fe (0.3333, 0.6667, 0.4946) (multiplicity 1)

---

DFT (PBE-GGA) results for a relaxed CaBe2Fe crystal.

## Properties
As for the energy above the most stable polymorph in this dataset: 210 meV per atom. For the uncorrected energy, the calculation gives -16.60 eV for the cell shown. As for the density of states at the Fermi level: 0.741 states/eV per atom. For the formation enthalpy at 0 K, the calculation gives 329.5 meV/atom.

a = 3.1415 Å, b = 3.4200 Å, c = 5.8441 Å
α = 90.00°, β = 105.32°, γ = 90.00°
Space group Pm (No. 6)
Symmetry-distinct sites (fractional):
Ca (0.0000, 0.0000, 0.0000) (multiplicity 1)
Be (0.2479, 0.0000, 0.4837) (multiplicity 1)
Be (0.3479, 0.5000, 0.6914) (multiplicity 1)
Fe (0.7179, 0.5000, 0.4266) (multiplicity 1)

---

DFT (PBE-GGA) results for a relaxed Ca2BeFe crystal.

## Properties
For the uncorrected energy, the calculation gives -27.11 eV for the cell shown. As for the density of states at the Fermi level: 1.666 states/eV per atom. For the formation enthalpy at 0 K, the calculation gives 659.6 meV/atom.

a = 4.4191 Å, b = 4.4191 Å, c = 8.5359 Å
α = 90.00°, β = 90.00°, γ = 90.00°
Space group I-4m2 (No. 119)
Symmetry-distinct sites (fractional):
Ca (0.0000, 0.0000, 0.0000) (multiplicity 2)
Ca (0.0000, 0.5000, 0.2500) (multiplicity 2)
Be (0.0000, 0.0000, 0.5000) (multiplicity 2)
Fe (0.0000, 0.5000, 0.7500) (multiplicity 2)

---

DFT (PBE-GGA) results for a relaxed CaBe2Fe crystal.

## Properties
As for the energy above the most stable polymorph in this dataset: 614 meV per atom. For the uncorrected energy, the calculation gives -59.92 eV for the cell shown. As for the density of states at the Fermi level: 2.030 states/eV per atom. For the formation enthalpy at 0 K, the calculation gives 734.0 meV/atom.

a = 6.1597 Å, b = 6.1597 Å, c = 6.1597 Å
α = 90.00°, β = 90.00°, γ = 90.00°
Space group F-43m (No. 216)
Symmetry-distinct sites (fractional):
Ca (0.0000, 0.0000, 0.0000) (multiplicity 4)
Be (0.0000, 0.0000, 0.5000) (multiplicity 4)
Be (0.2500, 0.2500, 0.7500) (multiplicity 4)
Fe (0.2500, 0.2500, 0.2500) (multiplicity 4)

---

DFT (PBE-GGA) results for a relaxed CaBeFe3 crystal.

## Properties
As for the energy above the most stable polymorph in this dataset: 1713 meV per atom. For the uncorrected energy, the calculation gives -19.99 eV for the cell shown. As for the density of states at the Fermi level: 0.837 states/eV per atom. For the formation enthalpy at 0 K, the calculation gives 2226.1 meV/atom.

a = 4.4468 Å, b = 4.4468 Å, c = 4.4468 Å
α = 90.00°, β = 90.00°, γ = 90.00°
Space group Pm-3m (No. 221)
Symmetry-distinct sites (fractional):
Ca (0.0000, 0.0000, 0.0000) (multiplicity 1)
Be (0.5000, 0.5000, 0.5000) (multiplicity 1)
Fe (0.0000, 0.0000, 0.5000) (multiplicity 3)

---

The lowest density of states at the Fermi level belongs to which entry? CaBe2Fe2

---

Look up the formation enthalpy at 0 K of the seventh one. 734.0 meV/atom

---

Look up the density of states at the Fermi level of the second one. 0.773 states/eV per atom